Record 1
Entry from Alexandria via LeMat-Bulk: a relaxed Ba2TcNi crystal (PBE).

Calculated values
- Electronic total energy: -4.45 eV per atom
- Energy relative to the elements: 553 meV/atom
- Energy above the most stable polymorph in this dataset: 1.00 eV/f.u.

Structure (POSCAR):
```
Ba2TcNi
1.0
-0.651 -0.668 3.398
-2.864 -1.840 -0.910
5.195 -7.817 -0.541
Tc Ni Ba
1 1 2
direct
0.500 0.500 0.654
0.000 0.000 0.589
0.000 0.000 0.911
0.500 0.500 0.346
```


Record 2
Entry from Alexandria via LeMat-Bulk: a relaxed BaTc2Ni crystal (PBE).

Calculated values
- Electronic total energy: -6.43 eV per atom
- Energy relative to the elements: 680 meV/atom
- Energy above the most stable polymorph in this dataset: 1.16 eV/f.u.

Structure (POSCAR):
```
BaTc2Ni
1.0
4.400 0.000 0.000
0.000 3.907 0.005
0.000 1.428 5.514
Ba Tc Ni
1 2 1
direct
0.500 0.250 0.250
0.000 0.966 0.867
0.000 0.534 0.633
0.500 0.750 0.750
```


Record 3
Entry from Alexandria via LeMat-Bulk: a relaxed BaTc2Ni crystal (PBE).

Calculated values
- Electronic total energy: -5.99 eV per atom
- Energy relative to the elements: 1123 meV/atom
- Energy above the most stable polymorph in this dataset: 2.94 eV/f.u.

Structure (POSCAR):
```
BaTc2Ni
1.0
-0.561 -1.909 -3.838
4.286 -2.943 3.205
-1.552 -2.481 1.326
Ni Ba Tc
1 1 2
direct
0.500 0.500 0.000
0.000 0.500 0.500
0.000 0.000 0.000
0.500 0.000 0.500
```


Record 4
Entry from Alexandria via LeMat-Bulk: a relaxed BaTc2Ni crystal (PBE).

Calculated values
- Electronic total energy: -6.21 eV per atom
- Energy relative to the elements: 894 meV/atom
- Energy above the most stable polymorph in this dataset: 2.02 eV/f.u.

Structure (POSCAR):
```
BaTc2Ni
1.0
-3.184 0.351 -3.511
-3.504 -0.869 3.091
-4.105 8.314 1.338
Ni Ba Tc
2 2 4
direct
0.500 0.500 0.000
0.250 0.750 0.500
0.000 0.000 0.000
0.750 0.250 0.500
0.375 0.625 0.750
0.875 0.625 0.750
0.375 0.625 0.250
0.375 0.125 0.250
```


Record 5
Entry from Alexandria via LeMat-Bulk: a relaxed BaTcNi2 crystal (PBE).

Calculated values
- Electronic total energy: -5.36 eV per atom
- Energy relative to the elements: 599 meV/atom
- Energy above the most stable polymorph in this dataset: 1.64 eV/f.u.

Structure (POSCAR):
```
BaTcNi2
1.0
5.020 0.000 0.000
0.000 5.020 0.000
2.510 2.510 7.755
Ni Ba Tc
4 2 2
direct
0.375 0.625 0.750
0.875 0.625 0.750
0.375 0.125 0.250
0.375 0.625 0.250
0.750 0.250 0.500
0.000 0.000 0.000
0.250 0.750 0.500
0.500 0.500 0.000
```


Record 6
Entry from Alexandria via LeMat-Bulk: a relaxed BaTc2Ni crystal (PBE).

Calculated values
- Electronic total energy: -5.97 eV per atom
- Energy relative to the elements: 1135 meV/atom
- Energy above the most stable polymorph in this dataset: 2.98 eV/f.u.

Structure (POSCAR):
```
BaTc2Ni
1.0
-1.935 -4.016 -9.005
0.993 -4.081 -9.128
-0.468 -6.270 -7.838
Ni Tc Ba
1 2 1
direct
0.750 0.750 0.750
0.482 0.482 0.482
0.018 0.018 0.018
0.250 0.250 0.250
```


Record 7
Entry from Alexandria via LeMat-Bulk: a relaxed BaTc2Ni crystal (PBE).

Calculated values
- Electronic total energy: -5.99 eV per atom
- Energy relative to the elements: 1115 meV/atom
- Energy above the most stable polymorph in this dataset: 2.90 eV/f.u.

Structure (POSCAR):
```
BaTc2Ni
1.0
-2.909 1.169 -0.295
-1.654 -4.168 -0.214
-2.200 -4.194 5.070
Ni Tc Ba
1 2 1
direct
0.000 0.000 0.500
0.000 0.000 0.000
0.500 0.500 0.000
0.500 0.500 0.500
```


Record 8
Entry from Alexandria via LeMat-Bulk: a relaxed BaTc2Ni crystal (PBE).

Calculated values
- Electronic total energy: -6.61 eV per atom
- Energy relative to the elements: 494 meV/atom
- Energy above the most stable polymorph in this dataset: 0.42 eV/f.u.

Structure (POSCAR):
```
BaTc2Ni
1.0
-0.755 0.834 -2.977
0.263 -3.036 -0.917
-7.498 -1.128 1.585
Ni Ba Tc
1 1 2
direct
0.500 0.500 0.825
0.000 0.000 0.511
0.000 0.000 0.002
0.500 0.500 0.163
```